1.
## Ti2V4W (PBE-GGA)

Data for an optimized crystal structure of Ti2V4W.

Cell lengths 9.3480, 9.3480, 2.5127 Å; angles 90.00, 90.00, 151.53 degrees
Atoms (fractional coordinates):
Ti1 0.0745 0.9255 0.0000
Ti2 0.9255 0.0745 0.0000
V1 0.2155 0.7845 0.5000
V2 0.3527 0.6473 0.0000
V3 0.6473 0.3527 0.0000
V4 0.7845 0.2155 0.5000
W1 0.5000 0.5000 0.5000

Results
Symmetry: Cmmm, No. 65
Calculated formation energy (eV per atom): 0.172
VASP energy (eV/atom): -9.15
Distance to the lowest polymorph of the same formula (eV/atom): 0.0000

---

2.
## TmLuIn2 (PBE-GGA)

Data for an optimized crystal structure of TmLuIn2.

Cell lengths 5.2737, 5.2737, 3.6706 Å; angles 90.00, 90.00, 90.00 degrees
Atoms (fractional coordinates):
Tm1 0.0000 0.0000 0.0000
Lu1 0.5000 0.5000 0.0000
In1 0.0000 0.5000 0.5000
In2 0.5000 0.0000 0.5000

Results
Symmetry: P4/mmm, No. 123
Calculated formation energy (eV per atom): -0.407
VASP energy (eV/atom): -4.02
Distance to the lowest polymorph of the same formula (eV/atom): 0.0030

---

3.
## CeMnN4 (PBE-GGA)

Data for an optimized crystal structure of CeMnN4.

Cell lengths 7.0399, 7.0399, 7.0399 Å; angles 138.85, 138.85, 59.61 degrees
Atoms (fractional coordinates):
Ce1 0.3750 0.1250 0.2500
Ce2 0.6250 0.8750 0.7500
Mn1 0.1250 0.3750 0.7500
Mn2 0.8750 0.6250 0.2500
N1 0.1029 0.1877 0.3846
N2 0.2183 0.6029 0.4152
N3 0.3031 0.7183 0.1154
N4 0.3123 0.1969 0.9152
N5 0.6877 0.8031 0.0848
N6 0.6969 0.2817 0.8846
N7 0.7817 0.3971 0.5848
N8 0.8971 0.8123 0.6154

Results
Symmetry: I4_1/a, No. 88
VASP energy (eV/atom): -8.16
Energy relative to the elements, uncorrected (meV per atom): -90

---

4.
## TcRhBr2 (PBE-GGA)

Data for an optimized crystal structure of TcRhBr2.

Cell lengths 9.8729, 9.8729, 9.8729 Å; angles 18.10, 18.10, 18.10 degrees
Atoms (fractional coordinates):
Tc1 0.0000 0.0000 0.0000
Rh1 0.2664 0.2664 0.2664
Br1 0.5274 0.5274 0.5274
Br2 0.7327 0.7327 0.7327

Results
Symmetry: R3m, No. 160
VASP energy (eV/atom): -4.93
Distance to the lowest polymorph of the same formula (eV/atom): 0.2127
Energy relative to the elements, uncorrected (meV per atom): 332

---

5.
## SrInTc2 (PBE-GGA)

Data for an optimized crystal structure of SrInTc2.

Cell lengths 6.8309, 6.8309, 6.8309 Å; angles 36.33, 36.33, 36.33 degrees
Atoms (fractional coordinates):
Sr1 0.0000 0.0000 0.0000
In1 0.7940 0.7940 0.7940
Tc1 0.2135 0.2135 0.2135
Tc2 0.5321 0.5321 0.5321

Results
Symmetry: R3m, No. 160
Calculated formation energy (eV per atom): 0.189
VASP energy (eV/atom): -6.10

---

6.
## LaDy3Ho4Se8 (PBE-GGA)

Data for an optimized crystal structure of LaDy3Ho4Se8.

Cell lengths 8.1969, 8.1969, 8.1969 Å; angles 59.97, 59.97, 59.97 degrees
Atoms (fractional coordinates):
La1 0.0000 0.0000 0.0000
Dy1 0.0000 0.5000 0.5000
Dy2 0.5000 0.0000 0.5000
Dy3 0.5000 0.5000 0.0000
Ho1 0.0000 0.0000 0.5000
Ho2 0.0000 0.5000 0.0000
Ho3 0.5000 0.0000 0.0000
Ho4 0.5000 0.5000 0.5000
Se1 0.2493 0.2493 0.2493
Se2 0.2554 0.7433 0.7433
Se3 0.2567 0.2567 0.7446
Se4 0.2567 0.7446 0.2567
Se5 0.7433 0.2554 0.7433
Se6 0.7433 0.7433 0.2554
Se7 0.7446 0.2567 0.2567
Se8 0.7507 0.7507 0.7507

Results
Symmetry: R-3m, No. 166
VASP energy (eV/atom): -5.81
Energy relative to the elements, uncorrected (meV per atom): -1757

---

7.
## Cu2SnI5 (PBE-GGA)

Data for an optimized crystal structure of Cu2SnI5.

Cell lengths 8.0824, 8.0824, 15.5699 Å; angles 90.00, 90.00, 138.91 degrees
Atoms (fractional coordinates):
Cu1 0.2224 0.7776 0.5940
Cu2 0.2224 0.7776 0.9060
Cu3 0.7776 0.2224 0.0940
Cu4 0.7776 0.2224 0.4060
Sn1 0.0821 0.9179 0.2500
Sn2 0.9179 0.0821 0.7500
I1 0.0469 0.9531 0.6140
I2 0.0469 0.9531 0.8860
I3 0.2603 0.7397 0.0705
I4 0.2603 0.7397 0.4295
I5 0.3031 0.6969 0.7500
I6 0.6969 0.3031 0.2500
I7 0.7397 0.2603 0.5705
I8 0.7397 0.2603 0.9295
I9 0.9531 0.0469 0.1140
I10 0.9531 0.0469 0.3860

Results
Symmetry: Cmcm, No. 63
VASP energy (eV/atom): -2.65
Energy relative to the elements, uncorrected (meV per atom): -159

---

Number 6 is which compound? LaDy3Ho4Se8